First-principles (GGA-PBE) data for a geometry-optimized ZrTl2Ni structure, as listed in Alexandria via LeMat-Bulk.

Fermi-level density of states (states/eV/f.u.): 3.2
ρ (g cm⁻³): 10.4
Formation energy (eV/atom): 0.03

Lattice parameters (Å, degrees): 3.3261 3.3261 8.0453 90.00 90.00 90.00
Last column: nearest neighbours and their distance in Å.
Sites, in units of the cell vectors:
Zr1 0.0000 0.0000 0.0000  4 Ni 2.67
Tl1 0.0000 0.0000 0.3939  4 Ni 3.03, 1 Zr 3.17, 4 Tl 3.33
Tl2 0.5000 0.5000 0.7131  4 Zr 3.30, 8 Tl 3.33-3.48, 1 Ni 3.56
Ni1 0.5000 0.5000 0.1561  4 Zr 2.67